Record 1
CsClF3: relaxed, PBE.

Calculated values
Uncorrected formation energy   -58.7 kJ/mol of atoms
DFT total energy   -2.27 eV/atom
N(E_F)   10.65 states/eV/f.u.
E above lowest polymorph   0.9411 eV per atom

Cell lengths 5.0618, 5.0618, 5.0618 Å; angles 90.00, 90.00, 90.00 degrees
Last column: magnetic moment on the atom in μB.
Fractional coordinates of all 5 atoms:
Cl1 0.0000 0.0000 0.0000  0.83
F1 0.5000 0.5000 0.0000  -0.25
F2 0.5000 0.0000 0.5000  -0.25
F3 0.0000 0.5000 0.5000  -0.25
Cs1 0.5000 0.5000 0.5000  -0.32

=====

Record 2
Cs4Cl3F12: relaxed, PBE.

Calculated values
Uncorrected formation energy   -147.5 kJ/mol of atoms
DFT total energy   -3.18 eV/atom
N(E_F)   8.07 states/eV/f.u.

Cell lengths 8.7508, 8.7508, 8.7508 Å; angles 109.47, 109.47, 109.47 degrees
Last column: magnetic moment on the atom in μB.
Fractional coordinates of all 19 atoms:
F1 0.4892 0.1287 0.3605  0.04
F2 0.3605 0.2318 0.8713  0.04
F3 0.5108 0.8713 0.6395  0.04
F4 0.1287 0.3605 0.4892  0.04
F5 0.8713 0.6395 0.5108  0.04
F6 0.6395 0.7682 0.1287  0.04
F7 0.7682 0.1287 0.6395  0.04
F8 0.3605 0.4892 0.1287  0.04
F9 0.8713 0.3605 0.2318  0.04
F10 0.1287 0.6395 0.7682  0.04
F11 0.6395 0.5108 0.8713  0.04
F12 0.2318 0.8713 0.3605  0.04
Cl1 0.5000 0.0000 0.5000  0.16
Cl2 0.5000 0.5000 0.0000  0.16
Cl3 0.0000 0.5000 0.5000  0.16
Cs1 0.0000 0.5000 0.0000  0.00
Cs2 0.5000 0.0000 0.0000  0.00
Cs3 0.0000 0.0000 0.5000  0.00
Cs4 0.5000 0.5000 0.5000  0.00

=====

Record 3
CsCl3F: relaxed, PBE.

Calculated values
Uncorrected formation energy   -60.0 kJ/mol of atoms
DFT total energy   -2.27 eV/atom
E above lowest polymorph   0.0000 eV per atom

Cell lengths 7.3334, 7.3334, 7.5100 Å; angles 60.77, 60.77, 90.00 degrees
Fractional coordinates of all 10 atoms:
Cl1 0.7134 0.7134 0.0000
Cl2 0.2866 0.2866 0.0000
Cl3 0.2866 0.7134 0.0000
Cl4 0.1904 0.1904 0.6192
Cl5 0.7134 0.2866 0.0000
Cl6 0.8096 0.8096 0.3808
F1 0.5000 0.5000 0.0000
F2 0.0000 0.0000 0.0000
Cs1 0.2500 0.7500 0.5000
Cs2 0.7500 0.2500 0.5000

=====

Record 4
CsCl5F: relaxed, PBE.

Calculated values
Uncorrected formation energy   -48.7 kJ/mol of atoms
DFT total energy   -2.21 eV/atom
N(E_F)   7.95 states/eV/f.u.

Cell lengths 8.4267, 8.4267, 8.4267 Å; angles 131.83, 144.18, 61.46 degrees
Last column: magnetic moment on the atom in μB.
Fractional coordinates of all 7 atoms:
Cl1 0.0785 0.7239 0.6454  0.06
Cl2 0.5252 0.3341 0.1911  0.00
Cl3 0.5856 0.0856 0.5000  0.43
Cl4 0.1430 0.3341 0.8089  0.00
Cl5 0.0785 0.4331 0.3546  0.06
F1 0.3079 0.8079 0.5000  0.00
Cs1 0.8120 0.8120 0.0000  0.00

=====

Record 5
CsClF3: relaxed, PBE.

Calculated values
Uncorrected formation energy   -111.0 kJ/mol of atoms
DFT total energy   -2.81 eV/atom
N(E_F)   0.29 states/eV/f.u.
E above lowest polymorph   0.3998 eV per atom

Cell lengths 5.7838, 6.8447, 6.8447 Å; angles 73.19, 65.01, 65.01 degrees
Last column: magnetic moment on the atom in μB.
Fractional coordinates of all 10 atoms:
Cl1 0.2500 0.7714 0.7286  0.44
Cl2 0.7500 0.2286 0.2714  0.44
Cs1 0.0000 0.5000 0.5000  0.01
Cs2 0.5000 0.0000 0.0000  0.01
F1 0.6124 0.5439 0.2312  0.20
F2 0.5000 0.0000 0.5000  0.00
F3 0.0000 0.0000 0.5000  0.00
F4 0.1124 0.7312 0.0439  0.20
F5 0.3876 0.4561 0.7688  0.20
F6 0.8876 0.2688 0.9561  0.20

=====

Record 6
CsClF: relaxed, PBE.

Calculated values
Uncorrected formation energy   -135.9 kJ/mol of atoms
DFT total energy   -2.93 eV/atom
N(E_F)   1.39 states/eV/f.u.

Cell lengths 4.3625, 4.7895, 4.7895 Å; angles 120.00, 90.00, 90.00 degrees
Last column: magnetic moment on the atom in μB.
Fractional coordinates of all 3 atoms:
Cl1 0.8330 0.0000 0.0000  0.44
F1 0.8342 0.3333 0.6667  0.41
Cs1 0.3327 0.6667 0.3333  0.00